# Nd2HoGa3Pd4

Nd2HoGa3Pd4 after structural relaxation (PBE, Alexandria via LeMat-Bulk).

Summary:
Its formation energy from the elements is -0.798 eV/atom. Its space group is P-4m2. The value obtained for the density of states at the Fermi level is 0.82 states/eV per atom.

Cell lengths 4.295, 4.295, 11.292 Å; angles 90.00, 90.00, 90.00 degrees
Fractional coordinates of all 10 atoms:
Nd  0.500  0.000  0.227
Nd  0.000  0.500  0.773
Pd  0.500  0.000  0.656
Pd  0.500  0.500  0.000
Ga  0.000  0.000  0.500
Ho  0.500  0.500  0.500
Ga  0.000  0.500  0.121
Pd  0.000  0.500  0.344
Ga  0.500  0.000  0.879
Pd  0.000  0.000  0.000

---

# Sm3Si4Pt2

Sm3Si4Pt2 after structural relaxation (PBE, Alexandria via LeMat-Bulk).

Summary:
Its space group is C2/m. For the formation energy from raw total energies, the calculation gives -1.045 eV/atom. The value obtained for the density of states at the Fermi level is 0.50 states/eV per atom.

Cell lengths 4.138, 5.904, 8.292 Å; angles 100.01, 90.00, 110.51 degrees
Fractional coordinates of all 9 atoms:
Si  0.947  0.894  0.612
Si  0.725  0.450  0.063
Pt  0.392  0.784  0.723
Sm  0.665  0.331  0.665
Si  0.275  0.550  0.937
Sm  0.000  0.000  0.000
Pt  0.608  0.216  0.277
Sm  0.335  0.669  0.335
Si  0.053  0.106  0.388

---

# LaReHRh

LaReHRh after structural relaxation (PBE, Alexandria via LeMat-Bulk).

Summary:
Its space group is P1. The value obtained for the density of states at the Fermi level is 0.52 states/eV per atom. The electronic total energy is -7.065 eV per atom.

Cell lengths 2.919, 4.027, 5.856 Å; angles 70.11, 79.48, 89.77 degrees
Fractional coordinates of all 4 atoms:
H  0.017  0.709  0.828
La  0.538  0.255  0.749
Re  0.931  0.588  0.153
Rh  0.327  0.000  0.320

---

# BeSiOs2

BeSiOs2 after structural relaxation (PBE, Alexandria via LeMat-Bulk).

Summary:
Its space group is Imm2. For the formation energy from raw total energies, the calculation gives -0.062 eV/atom. The value obtained for the density of states at the Fermi level is 0.59 states/eV per atom.

Cell lengths 4.998, 4.998, 4.998 Å; angles 146.14, 133.75, 58.54 degrees
Fractional coordinates of all 4 atoms:
Si  0.504  0.504  0.000
Os  0.005  0.005  0.000
Be  0.244  0.744  0.500
Os  0.748  0.248  0.500